Record 1
Compound: Ca2OsRh
Source: the Alexandria database
Functional: PBE
Structure: optimized geometry

Unit cell a=4.839 b=4.839 c=4.839 alpha=60.00 beta=60.00 gamma=60.00
Last column: magnetic moment on the atom in μB.
Positions (direct):
Rh 0.000 0.000 0.000  0.08
Ca 0.250 0.250 0.250  0.00
Ca 0.750 0.750 0.750  0.00
Os 0.500 0.500 0.500  0.15

Summary:
spin magnetization	0.24	μB per cell
polymorph energy (0 for the lowest one)	0.334	eV per atom
total energy	-5.2433	eV/atom
energy relative to the elements	0.40	eV/atom

Record 2
Compound: CaOsRh
Source: the Alexandria database
Functional: PBE
Structure: optimized geometry

Unit cell a=5.052 b=5.052 c=6.355 alpha=81.17 beta=130.28 gamma=112.32
Positions (direct):
Ca 0.255 0.642 0.897
Ca 0.745 0.358 0.103
Rh 0.000 0.000 0.500
Rh 0.500 0.500 0.500
Os 0.240 0.003 0.242
Os 0.760 0.997 0.758

Summary:
spin magnetization	0.00	μB per cell
polymorph energy (0 for the lowest one)	0.000	eV per atom
total energy	-6.7222	eV/atom
energy relative to the elements	0.14	eV/atom

Record 3
Compound: CaOsRh
Source: the Alexandria database
Functional: PBE
Structure: optimized geometry

Unit cell a=5.716 b=5.716 c=5.716 alpha=151.55 beta=139.49 gamma=50.24
Positions (direct):
Rh 0.709 0.709 0.000
Ca 0.000 0.000 0.000
Os 0.290 0.290 0.000

Summary:
spin magnetization	0.00	μB per cell
polymorph energy (0 for the lowest one)	0.044	eV per atom
total energy	-6.6784	eV/atom
energy relative to the elements	0.18	eV/atom

Record 4
Compound: CaOsRh
Source: the Alexandria database
Functional: PBE
Structure: optimized geometry

Unit cell a=4.652 b=4.652 c=2.803 alpha=90.00 beta=90.00 gamma=120.00
Positions (direct):
Rh 0.333 0.667 0.500
Ca 0.000 0.000 0.000
Os 0.667 0.333 0.500

Summary:
spin magnetization	0.00	μB per cell
polymorph energy (0 for the lowest one)	0.211	eV per atom
total energy	-6.5108	eV/atom
energy relative to the elements	0.35	eV/atom

Record 5
Compound: CaOs3Rh
Source: the Alexandria database
Functional: PBE
Structure: optimized geometry

Unit cell a=4.740 b=4.740 c=4.740 alpha=90.00 beta=90.00 gamma=90.00
Positions (direct):
Rh 0.000 0.000 0.000
Ca 0.500 0.500 0.500
Os 0.000 0.500 0.000
Os 0.000 0.000 0.500
Os 0.500 0.000 0.000

Summary:
spin magnetization	0.00	μB per cell
polymorph energy (0 for the lowest one)	0.000	eV per atom
total energy	-6.8444	eV/atom
energy relative to the elements	1.76	eV/atom

Record 6
Compound: CaOsRh2
Source: the Alexandria database
Functional: PBE
Structure: optimized geometry

Unit cell a=4.693 b=4.693 c=8.881 alpha=74.68 beta=74.68 gamma=90.00
Positions (direct):
Rh 0.761 0.125 0.250
Rh 0.989 0.625 0.250
Rh 0.375 0.239 0.750
Rh 0.875 0.011 0.750
Ca 0.500 0.500 0.000
Ca 0.250 0.750 0.500
Os 0.000 0.000 0.000
Os 0.750 0.250 0.500

Summary:
spin magnetization	0.00	μB per cell
polymorph energy (0 for the lowest one)	0.531	eV per atom
total energy	-6.4037	eV/atom
energy relative to the elements	0.58	eV/atom

Record 7
Compound: CaOsRh2
Source: the Alexandria database
Functional: PBE
Structure: optimized geometry

Unit cell a=4.743 b=4.743 c=5.431 alpha=82.82 beta=82.82 gamma=34.00
Positions (direct):
Rh 0.993 0.993 0.048
Rh 0.507 0.507 0.452
Ca 0.750 0.750 0.750
Os 0.250 0.250 0.250

Summary:
spin magnetization	0.00	μB per cell
polymorph energy (0 for the lowest one)	0.149	eV per atom
total energy	-6.7857	eV/atom
energy relative to the elements	0.20	eV/atom

Record 8
Compound: CaOsRh2
Source: the Alexandria database
Functional: PBE
Structure: optimized geometry

Unit cell a=4.516 b=2.821 c=5.263 alpha=76.51 beta=90.00 gamma=90.00
Positions (direct):
Rh 0.000 0.192 0.956
Rh 0.500 0.059 0.276
Ca 0.000 0.484 0.447
Os 0.500 0.765 0.821

Summary:
spin magnetization	0.00	μB per cell
polymorph energy (0 for the lowest one)	0.059	eV per atom
total energy	-6.8752	eV/atom
energy relative to the elements	0.11	eV/atom

Record 9
Compound: CaOsRh
Source: the Alexandria database
Functional: PBE
Structure: optimized geometry

Unit cell a=6.707 b=6.707 c=2.894 alpha=77.54 beta=77.54 gamma=24.92
Positions (direct):
Rh 0.688 0.688 0.312
Ca 0.999 0.999 0.001
Os 0.313 0.313 0.687

Summary:
spin magnetization	0.00	μB per cell
polymorph energy (0 for the lowest one)	0.054	eV per atom
total energy	-6.6683	eV/atom
energy relative to the elements	0.19	eV/atom

Record 10
Compound: Ca2OsRh
Source: the Alexandria database
Functional: PBE
Structure: optimized geometry

Unit cell a=5.286 b=5.286 c=2.924 alpha=89.94 beta=89.94 gamma=106.03
Positions (direct):
Rh 0.000 0.500 0.500
Ca 0.000 0.000 0.000
Ca 0.500 0.500 0.000
Os 0.500 0.000 0.500

Summary:
spin magnetization	0.00	μB per cell
polymorph energy (0 for the lowest one)	0.253	eV per atom
total energy	-5.3242	eV/atom
energy relative to the elements	0.32	eV/atom

Record 11
Compound: CaOsRh2
Source: the Alexandria database
Functional: PBE
Structure: optimized geometry

Unit cell a=4.791 b=4.791 c=4.791 alpha=128.60 beta=128.60 gamma=75.65
Last column: magnetic moment on the atom in μB.
Positions (direct):
Rh 0.000 0.000 0.000  0.10
Rh 0.500 0.500 0.000  0.10
Ca 0.250 0.750 0.500  0.00
Os 0.750 0.250 0.500  0.50

Summary:
spin magnetization	0.74	μB per cell
polymorph energy (0 for the lowest one)	0.225	eV per atom
total energy	-6.7098	eV/atom
energy relative to the elements	0.27	eV/atom

Record 12
Compound: CaOsRh2
Source: the Alexandria database
Functional: PBE
Structure: optimized geometry

Unit cell a=9.303 b=9.303 c=9.303 alpha=17.71 beta=17.71 gamma=17.71
Positions (direct):
Rh 0.006 0.006 0.006
Rh 0.494 0.494 0.494
Ca 0.250 0.250 0.250
Os 0.750 0.750 0.750

Summary:
spin magnetization	0.00	μB per cell
polymorph energy (0 for the lowest one)	0.296	eV per atom
total energy	-6.6389	eV/atom
energy relative to the elements	0.34	eV/atom